Record 1
First-principles (PBE) data for HfCdPd2F after structural relaxation, as listed in the Alexandria database.

Lattice parameters (Å, degrees): 5.049 5.049 4.074 90.00 90.00 90.00
Fractional coordinates of all 5 atoms:
Hf: 0.000 0.000 0.000
Cd: 0.500 0.500 0.500
Pd: 0.000 0.500 0.500
Pd: 0.500 0.000 0.500
F: 0.500 0.500 0.000

Values from the calculation:
Its formation energy from raw total energies is 0.072 eV/atom. The value obtained for the density of states at the Fermi level is 3.2 states/eV/f.u.

=====

Record 2
First-principles (PBE) data for Rb2HfCdF6 after structural relaxation, as listed in the Alexandria database.

Lattice parameters (Å, degrees): 6.998 6.998 6.998 60.00 60.00 60.00
Fractional coordinates of all 10 atoms:
Rb: 0.250 0.250 0.250
Rb: 0.750 0.750 0.750
Hf: 0.000 0.000 0.000
Cd: 0.500 0.500 0.500
F: 0.203 0.203 0.797
F: 0.203 0.797 0.203
F: 0.203 0.797 0.797
F: 0.797 0.203 0.203
F: 0.797 0.203 0.797
F: 0.797 0.797 0.203

Values from the calculation:
Its formation energy from raw total energies is -2.958 eV/atom. The value obtained for the density of states at the Fermi level is 0.0 states/eV/f.u.